Below is a relaxed structure of MnPb2W, with properties calculated at the PBE level.

Summary:
offset from the most stable computed form: 282.1 meV/atom
ρ: 12.821 g/cm³
electronic total energy: -6.67 eV per atom

Lattice parameters (Å, degrees): 4.2337 3.7759 10.5842 90.00 90.00 90.00
Fractional coordinates of all 8 atoms:
Mn (0.0000, 0.0000, 0.0000)
Mn (0.0000, 0.5000, 0.5000)
Pb (0.0000, 0.0000, 0.2814)
Pb (0.0000, 0.5000, 0.7814)
Pb (0.5000, 0.0000, 0.5848)
Pb (0.5000, 0.5000, 0.0848)
W (0.5000, 0.0000, 0.8690)
W (0.5000, 0.5000, 0.3690)